# 1
A plane-wave DFT calculation with GGA-PBE was carried out for Rb2ZrSiPt after structural relaxation.

Cell: 6.764 6.764 4.918 Å, 90.00 90.00 90.00°
Fractional coordinates of all 5 atoms:
Rb (0.000, 0.500, 0.000)
Rb (0.500, 0.000, 0.000)
Zr (0.000, 0.000, 0.000)
Si (0.000, 0.000, 0.500)
Pt (0.500, 0.500, 0.500)

Calculated values
Electronic total energy: -15.304 eV per formula unit
V: 225.0 Å³ per cell
Fermi-level density of states: 12.5 states/eV/f.u.
ΔE_f (raw): 1328.5 meV per atom


# 2
A plane-wave DFT calculation with GGA-PBE was carried out for TbLuSc2 after structural relaxation.

Cell: 3.825 3.825 7.531 Å, 90.00 90.00 90.00°
Fractional coordinates of all 4 atoms:
Tb (0.000, 0.000, 0.000)
Lu (0.000, 0.000, 0.500)
Sc (0.500, 0.500, 0.260)
Sc (0.500, 0.500, 0.740)

Calculated values
Polymorph energy (0 for the lowest one): 0.0388 eV/atom
Electronic total energy: -21.444 eV per formula unit
V: 110.2 Å³ per cell
ΔE_f: 0.093 eV/atom
Fermi-level density of states: 6.2 states/eV/f.u.


# 3
A plane-wave DFT calculation with GGA-PBE was carried out for PrHo4Tl after structural relaxation.

Cell: 10.938 10.938 6.548 Å, 90.00 90.00 150.46°
Fractional coordinates of all 12 atoms:
Pr (0.064, 0.936, 0.500)
Pr (0.936, 0.064, 0.000)
Ho (0.140, 0.860, 0.012)
Ho (0.255, 0.745, 0.377)
Ho (0.316, 0.684, 0.856)
Ho (0.459, 0.541, 0.675)
Ho (0.541, 0.459, 0.175)
Ho (0.684, 0.316, 0.356)
Ho (0.745, 0.255, 0.877)
Ho (0.860, 0.140, 0.512)
Tl (0.397, 0.603, 0.254)
Tl (0.603, 0.397, 0.754)

Calculated values
Polymorph energy (0 for the lowest one): 0.1273 eV/atom
Electronic total energy: -25.303 eV per formula unit
V: 386.2 Å³ per cell
ΔE_f: 0.026 eV/atom
Fermi-level density of states: 8.2 states/eV/f.u.


# 4
A plane-wave DFT calculation with GGA-PBE was carried out for BeHg2Ir after structural relaxation.

Cell: 5.590 9.572 3.086 Å, 90.00 122.22 90.00°
Fractional coordinates of all 8 atoms:
Be (0.000, 0.000, 0.000)
Be (0.500, 0.500, 0.000)
Hg (0.250, 0.250, 0.000)
Hg (0.250, 0.750, 0.000)
Hg (0.750, 0.250, 0.000)
Hg (0.750, 0.750, 0.000)
Ir (0.000, 0.500, 0.000)
Ir (0.500, 0.000, 0.000)

Calculated values
Electronic total energy: -10.964 eV per formula unit
V: 139.7 Å³ per cell
ΔE_f: 0.557 eV/atom
Fermi-level density of states: 1.6 states/eV/f.u.


# 5
A plane-wave DFT calculation with GGA-PBE was carried out for PuScPt4 after structural relaxation.

Cell: 5.389 5.389 5.389 Å, 60.00 60.00 60.00°
Fractional coordinates of all 6 atoms:
Pu (0.000, 0.000, 0.000)
Sc (0.250, 0.250, 0.250)
Pt (0.125, 0.625, 0.625)
Pt (0.625, 0.125, 0.625)
Pt (0.625, 0.625, 0.125)
Pt (0.625, 0.625, 0.625)

Calculated values
Electronic total energy: -50.151 eV per formula unit
V: 110.7 Å³ per cell
ΔE_f: -0.887 eV/atom
Fermi-level density of states: 14.0 states/eV/f.u.


# 6
A plane-wave DFT calculation with GGA-PBE was carried out for TbGdMg2 after structural relaxation.

Cell: 5.386 5.386 3.818 Å, 90.00 90.00 90.00°
Fractional coordinates of all 4 atoms:
Tb (0.000, 0.000, 0.000)
Gd (0.500, 0.500, 0.000)
Mg (0.000, 0.500, 0.500)
Mg (0.500, 0.000, 0.500)

Calculated values
Polymorph energy (0 for the lowest one): 0.0000 eV/atom
Electronic total energy: -22.303 eV per formula unit
V: 110.7 Å³ per cell
ΔE_f: -0.101 eV/atom
Fermi-level density of states: 4.4 states/eV/f.u.


# 7
A plane-wave DFT calculation with GGA-PBE was carried out for Cs2BaNCl6 after structural relaxation.

Cell: 8.453 8.453 8.453 Å, 128.54 128.54 75.76°
Fractional coordinates of all 10 atoms:
Cs (0.250, 0.750, 0.500)
Cs (0.750, 0.250, 0.500)
Ba (0.000, 0.000, 0.000)
N (0.500, 0.500, 0.000)
Cl (0.224, 0.224, 0.000)
Cl (0.292, 0.292, 0.583)
Cl (0.292, 0.708, 0.000)
Cl (0.708, 0.292, 0.000)
Cl (0.708, 0.708, 0.417)
Cl (0.776, 0.776, 0.000)

Calculated values
Electronic total energy: -33.664 eV per formula unit
V: 359.5 Å³ per cell
ΔE_f (raw): -1062.9 meV per atom


# 8
A plane-wave DFT calculation with GGA-PBE was carried out for Be2BiOsBr after structural relaxation.

Cell: 4.787 4.787 5.603 Å, 90.00 90.00 90.00°
Fractional coordinates of all 5 atoms:
Be (0.000, 0.500, 0.000)
Be (0.500, 0.000, 0.000)
Bi (0.000, 0.000, 0.000)
Os (0.500, 0.500, 0.500)
Br (0.000, 0.000, 0.500)

Calculated values
Electronic total energy: -13.771 eV per formula unit
V: 128.4 Å³ per cell
Fermi-level density of states: 4.1 states/eV/f.u.
ΔE_f (raw): 2093.0 meV per atom


Question: Which value of electronic total energy does entry 1 give?
Answer: -15.304 eV per formula unit


Question: Which of these has the lowest electronic total energy?
Answer: PuScPt4


Question: What is the electronic total energy in the second record?
Answer: -21.444 eV per formula unit


Question: Which value of V does entry 6 give?
Answer: 110.7 Å³ per cell